No. 1
## PAu2C (PBE-GGA)

Data for an optimized crystal structure of PAu2C.

Cell lengths 4.377, 4.377, 4.377 Å; angles 60.00, 60.00, 60.00 degrees
Positions (direct):
Au 0.750 0.750 0.750
Au 0.250 0.250 0.250
C 0.000 0.000 0.000
P 0.500 0.500 0.500

Summary:
- Mass density: 12.2 g/cm3

No. 2
## HgPIrCl2 (PBE-GGA)

Data for an optimized crystal structure of HgPIrCl2.

Cell lengths 5.058, 5.058, 4.487 Å; angles 90.00, 90.00, 90.00 degrees
Positions (direct):
P 0.000 0.000 0.500
Hg 0.500 0.500 0.500
Ir 0.000 0.000 0.000
Cl 0.500 0.000 0.000
Cl 0.000 0.500 0.000

Summary:
- Mass density: 7.2 g/cm3

No. 3
## ZnSb2Se (PBE-GGA)

Data for an optimized crystal structure of ZnSb2Se.

Cell lengths 5.114, 5.114, 3.522 Å; angles 90.00, 90.00, 90.00 degrees
Positions (direct):
Se 0.500 0.000 0.500
Zn 0.000 0.500 0.500
Sb 0.000 0.000 0.000
Sb 0.500 0.500 0.000

Summary:
- Mass density: 7.0 g/cm3

no.,energy relative to the lowest polymorph listed for this composition (eV per atom)
1,0.404
2,0.000
3,0.382